No. 1
VASP calculation (GGA-PBE) on a relaxed Na3Li3H8Rh crystal.

Cell and atoms, written as POSCAR:
```
Na3Li3H8Rh
1.0
-5.7021 1.7805 -0.5557
3.0929 -1.7084 -4.8390
-1.7522 -4.3370 4.1203
H Na Li Rh
8 3 3 1
direct
0.8010 0.6020 0.3219 H
0.2621 0.5243 0.2862 H
0.7379 0.4757 0.7138 H
0.8016 0.0212 0.3223 H
0.1990 0.3980 0.6781 H
0.7800 0.9784 0.6774 H
0.2200 0.0216 0.3226 H
0.1984 0.9788 0.6777 H
0.0000 0.0000 0.0000 Na
0.0000 0.5000 0.0000 Na
0.5000 0.5000 0.0000 Na
0.5000 0.5000 0.5000 Li
0.0000 0.5000 0.5000 Li
0.5000 0.0000 0.5000 Li
0.0000 0.0000 0.5000 Rh
```

Computed properties:
Symmetry   No. 12
Spin magnetization   0.0 μB per formula unit
Total energy   -3.229 eV/atom
ρ   2.07 g/cm³

***

No. 2
VASP calculation (GGA-PBE) on a relaxed Na2Li2H4Rh crystal.

Cell and atoms, written as POSCAR:
```
Na2Li2H4Rh
1.0
-4.3836 -2.0492 1.8475
4.4554 -2.6164 0.3635
2.2066 4.0269 2.3965
H Na Rh Li
4 2 1 2
direct
0.0000 0.2379 0.7621 H
0.5243 0.7621 0.7621 H
0.0000 0.7621 0.2379 H
0.4757 0.2379 0.2379 H
0.5000 0.7500 0.2500 Na
0.5000 0.2500 0.7500 Na
0.0000 0.0000 0.0000 Rh
0.0000 0.3459 0.3459 Li
0.0000 0.6541 0.6541 Li
```

Computed properties:
Symmetry   No. 139
Spin magnetization   0.0 μB per formula unit
Total energy   -3.177 eV/atom
ρ   2.83 g/cm³

***

No. 3
VASP calculation (GGA-PBE) on a relaxed NaLi2H6Rh crystal.

Cell and atoms, written as POSCAR:
```
NaLi2H6Rh
1.0
5.7263 0.0000 0.0000
0.0000 4.7675 0.0000
0.0000 -2.3838 4.1288
Na H Li Rh
1 6 2 1
direct
0.5000 0.0000 0.0000 Na
0.8278 0.1624 0.8376 H
0.8278 0.6752 0.8376 H
0.1722 0.3248 0.1624 H
0.8278 0.1624 0.3248 H
0.1722 0.8376 0.6752 H
0.1722 0.8376 0.1624 H
0.9382 0.6667 0.3333 Li
0.0618 0.3333 0.6667 Li
0.0000 0.0000 0.0000 Rh
```

Computed properties:
Symmetry   No. 164
Spin magnetization   0.0 μB per formula unit
Total energy   -3.637 eV/atom
ρ   2.15 g/cm³

***

No. 4
VASP calculation (GGA-PBE) on a relaxed NaLi2HRh crystal.

Cell and atoms, written as POSCAR:
```
NaLi2HRh
1.0
-4.0042 1.2845 -1.1157
-1.6889 -3.3462 2.2089
-0.1686 2.0192 2.9299
Rh Li Na H
1 2 1 1
direct
0.0000 0.0000 0.5000 Rh
0.0000 0.5000 0.0000 Li
0.5000 0.0000 0.0000 Li
0.5000 0.5000 0.5000 Na
0.0000 0.0000 0.0000 H
```

Computed properties:
Symmetry   No. 123
Spin magnetization   0.0 μB per formula unit
Total energy   -3.276 eV/atom
ρ   3.47 g/cm³

***

No. 5
VASP calculation (GGA-PBE) on a relaxed Na2Li3H6Rh crystal.

Cell and atoms, written as POSCAR:
```
Na2Li3H6Rh
1.0
5.4924 -0.1273 0.0680
-2.8552 4.6937 0.0680
-0.8161 -1.4130 4.7038
H Na Li Rh
6 2 3 1
direct
0.7940 0.7940 0.2227 H
0.6751 0.9201 0.7647 H
0.9201 0.6751 0.7647 H
0.3249 0.0799 0.2353 H
0.2060 0.2060 0.7773 H
0.0799 0.3249 0.2353 H
0.6738 0.3262 0.0000 Na
0.3262 0.6738 0.0000 Na
0.5000 0.5000 0.5000 Li
0.1375 0.8625 0.5000 Li
0.8625 0.1375 0.5000 Li
0.0000 0.0000 0.0000 Rh
```

Computed properties:
Symmetry   No. 12
Spin magnetization   0.0 μB per formula unit
Total energy   -3.273 eV/atom
ρ   2.42 g/cm³

***

No. 6
VASP calculation (GGA-PBE) on a relaxed NaLiHRh2 crystal.

Cell and atoms, written as POSCAR:
```
NaLiHRh2
1.0
-1.2324 -3.6199 0.2196
1.5340 -0.3102 3.4959
-3.7980 1.4017 1.7909
H Li Rh Na
1 1 2 1
direct
0.0000 0.0000 0.0000 H
0.0000 0.0000 0.5000 Li
0.5000 0.0000 0.0000 Rh
0.0000 0.5000 0.0000 Rh
0.5000 0.5000 0.5000 Na
```

Computed properties:
Symmetry   No. 123
Spin magnetization   0.1 μB per formula unit
Total energy   -4.222 eV/atom
ρ   6.05 g/cm³

***

No. 7
VASP calculation (GGA-PBE) on a relaxed NaLiHRu2 crystal.

Cell and atoms, written as POSCAR:
```
NaLiHRu2
1.0
4.8357 0.0000 0.0000
0.0000 4.3449 0.0000
0.0000 0.0000 4.8357
H Li Ru Na
1 1 2 1
direct
0.5000 0.5000 0.5000 H
0.0000 0.5000 0.0000 Li
0.5000 0.0000 0.0000 Ru
0.0000 0.0000 0.5000 Ru
0.0000 0.0000 0.0000 Na
```

Computed properties:
Symmetry   No. 123
Spin magnetization   4.7 μB per formula unit
Total energy   -2.740 eV/atom
ρ   3.81 g/cm³

***

No. 8
VASP calculation (GGA-PBE) on a relaxed Na3Li2H6Ru crystal.

Cell and atoms, written as POSCAR:
```
Na3Li2H6Ru
1.0
5.3176 -0.0516 0.0208
-2.7022 4.5802 0.0208
-0.8518 -1.4749 5.1690
Ru H Li Na
1 6 2 3
direct
0.0000 0.0000 0.0000 Ru
0.7720 0.7720 0.1823 H
0.6571 0.9346 0.8156 H
0.0654 0.3429 0.1844 H
0.3429 0.0654 0.1844 H
0.2280 0.2280 0.8177 H
0.9346 0.6571 0.8156 H
0.3320 0.6680 0.0000 Li
0.6680 0.3320 0.0000 Li
0.1604 0.8396 0.5000 Na
0.8396 0.1604 0.5000 Na
0.5000 0.5000 0.5000 Na
```

Computed properties:
Symmetry   No. 12
Spin magnetization   0.0 μB per formula unit
Total energy   -3.315 eV/atom
ρ   2.51 g/cm³

***

No. 9
VASP calculation (GGA-PBE) on a relaxed Na2LiH5Ru crystal.

Cell and atoms, written as POSCAR:
```
Na2LiH5Ru
1.0
-2.2496 0.3170 -2.6308
-3.8329 0.0035 3.2779
3.3596 5.1417 0.0431
H Na Li Ru
5 2 1 1
direct
0.6113 0.3599 0.2226 H
0.3887 0.6401 0.7774 H
0.6113 0.8626 0.2226 H
0.0000 0.0000 0.0000 H
0.3887 0.1374 0.7774 H
0.2164 0.2164 0.4329 Na
0.7836 0.7836 0.5671 Na
0.0000 0.5000 0.0000 Li
0.5000 0.0000 0.0000 Ru
```

Computed properties:
Symmetry   No. 71
Spin magnetization   0.0 μB per formula unit
Total energy   -3.614 eV/atom
ρ   2.83 g/cm³

***

No. 10
VASP calculation (GGA-PBE) on a relaxed Na2LiSbH crystal.

Cell and atoms, written as POSCAR:
```
Na2LiSbH
1.0
5.2326 0.0000 0.0000
0.0000 5.2326 0.0000
0.0000 0.0000 3.6362
Na H Sb Li
2 1 1 1
direct
0.5000 0.0000 0.0000 Na
0.0000 0.5000 0.0000 Na
0.0000 0.0000 0.0000 H
0.5000 0.5000 0.5000 Sb
0.0000 0.0000 0.5000 Li
```

Computed properties:
Symmetry   No. 123
Spin magnetization   0.0 μB per formula unit
Total energy   -2.735 eV/atom
ρ   2.93 g/cm³

***

No. 11
VASP calculation (GGA-PBE) on a relaxed NaLi2HSe crystal.

Cell and atoms, written as POSCAR:
```
NaLi2HSe
1.0
4.1465 0.0000 0.0000
0.0000 4.1465 0.0000
0.0000 0.0000 4.2685
Se H Na Li
1 1 1 2
direct
0.5000 0.5000 0.5000 Se
0.0000 0.0000 0.0000 H
0.0000 0.0000 0.5000 Na
0.5000 0.0000 0.0000 Li
0.0000 0.5000 0.0000 Li
```

Computed properties:
Symmetry   No. 123
Spin magnetization   0.0 μB per formula unit
Total energy   -3.170 eV/atom
ρ   2.64 g/cm³

***

No. 12
VASP calculation (GGA-PBE) on a relaxed NaLiSiH6 crystal.

Cell and atoms, written as POSCAR:
```
NaLiSiH6
1.0
-2.7718 3.5908 -1.0036
-2.7561 -0.1646 -3.7364
-3.3641 -1.8785 2.5656
H Si Na Li
6 1 1 1
direct
0.6085 0.3457 0.6997 H
0.3457 0.6085 0.3003 H
0.0458 0.3455 0.3003 H
0.3455 0.0459 0.6997 H
0.6089 0.0456 0.3005 H
0.0455 0.6089 0.6995 H
0.3333 0.3334 0.5000 Si
0.9999 0.0000 0.0000 Na
0.6666 0.6667 0.5000 Li
```

Computed properties:
Symmetry   No. 149
Spin magnetization   0.0 μB per formula unit
Total energy   -3.330 eV/atom
ρ   1.23 g/cm³

***

No. 13
VASP calculation (GGA-PBE) on a relaxed Na2LiSnH crystal.

Cell and atoms, written as POSCAR:
```
Na2LiSnH
1.0
-2.8764 -4.1989 -0.1941
4.0023 -2.6640 -1.6813
0.9816 -0.8421 3.6710
Sn H Li Na
1 1 1 2
direct
0.5000 0.5000 0.5000 Sn
0.0000 0.0000 0.0000 H
0.0000 0.0000 0.5000 Li
0.0000 0.5000 0.0000 Na
0.5000 0.0000 0.0000 Na
```

Computed properties:
Symmetry   No. 123
Spin magnetization   0.0 μB per formula unit
Total energy   -2.506 eV/atom
ρ   2.84 g/cm³

***

No. 14
VASP calculation (GGA-PBE) on a relaxed NaLi2SnH crystal.

Cell and atoms, written as POSCAR:
```
NaLi2SnH
1.0
4.2574 0.0000 0.0000
0.0000 4.2574 0.0000
0.0000 0.0000 4.7478
Li Sn H Na
2 1 1 1
direct
0.0000 0.5000 0.0000 Li
0.5000 0.0000 0.0000 Li
0.5000 0.5000 0.5000 Sn
0.0000 0.0000 0.0000 H
0.0000 0.0000 0.5000 Na
```

Computed properties:
Symmetry   No. 123
Spin magnetization   0.0 μB per formula unit
Total energy   -2.672 eV/atom
ρ   3.02 g/cm³

***

No. 15
VASP calculation (GGA-PBE) on a relaxed NaSrLi2H crystal.

Cell and atoms, written as POSCAR:
```
NaSrLi2H
1.0
-3.0942 -1.6362 3.7249
-3.4896 -1.3386 -3.4867
2.0130 -4.4787 -0.2952
Na Li Sr H
1 2 1 1
direct
0.5000 0.5000 0.5000 Na
0.5000 0.0000 0.0000 Li
0.0000 0.5000 0.0000 Li
0.0000 0.0000 0.5000 Sr
0.0000 0.0000 0.0000 H
```

Computed properties:
Symmetry   No. 123
Spin magnetization   0.0 μB per formula unit
Total energy   -2.029 eV/atom
ρ   1.62 g/cm³

***

No. 16
VASP calculation (GGA-PBE) on a relaxed NaSr2LiH crystal.

Cell and atoms, written as POSCAR:
```
NaSr2LiH
1.0
5.7093 0.0000 0.0000
0.0000 5.7093 0.0000
0.0000 0.0000 4.6430
Sr Na Li H
2 1 1 1
direct
0.0000 0.5000 0.0000 Sr
0.5000 0.0000 0.0000 Sr
0.5000 0.5000 0.5000 Na
0.0000 0.0000 0.5000 Li
0.0000 0.0000 0.0000 H
```

Computed properties:
Symmetry   No. 123
Spin magnetization   0.0 μB per formula unit
Total energy   -2.052 eV/atom
ρ   2.26 g/cm³

***

No. 17
VASP calculation (GGA-PBE) on a relaxed NaSr2LiH crystal.

Cell and atoms, written as POSCAR:
```
NaSr2LiH
1.0
5.4874 0.0000 0.0000
0.0000 5.4874 0.0000
0.0000 0.0000 5.0610
H Li Na Sr
1 1 1 2
direct
0.0000 0.0000 0.0000 H
0.5000 0.5000 0.5000 Li
0.0000 0.0000 0.5000 Na
0.5000 0.0000 0.0000 Sr
0.0000 0.5000 0.0000 Sr
```

Computed properties:
Symmetry   No. 123
Spin magnetization   0.0 μB per formula unit
Total energy   -2.069 eV/atom
ρ   2.25 g/cm³

***

No. 18
VASP calculation (GGA-PBE) on a relaxed Na2LiTeH crystal.

Cell and atoms, written as POSCAR:
```
Na2LiTeH
1.0
-1.7276 1.6225 3.9802
3.5293 -1.9129 2.3117
2.3951 3.8023 -0.5104
Te Na H Li
1 2 1 1
direct
0.5000 0.5000 0.5000 Te
0.0000 0.5000 0.0000 Na
0.5000 0.0000 0.0000 Na
0.0000 0.0000 0.0000 H
0.0000 0.0000 0.5000 Li
```

Computed properties:
Symmetry   No. 123
Spin magnetization   0.0 μB per formula unit
Total energy   -2.854 eV/atom
ρ   3.11 g/cm³

***

No. 19
VASP calculation (GGA-PBE) on a relaxed NaLiTl2H crystal.

Cell and atoms, written as POSCAR:
```
NaLiTl2H
1.0
-3.3746 -4.3025 -0.7130
4.1995 -2.9627 -1.9987
0.7617 -1.1435 3.2954
Na H Tl Li
1 1 2 1
direct
0.5000 0.5000 0.5000 Na
0.0000 0.0000 0.0000 H
0.0000 0.5000 0.0000 Tl
0.5000 0.0000 0.0000 Tl
0.0000 0.0000 0.5000 Li
```

Computed properties:
Symmetry   No. 123
Spin magnetization   0.0 μB per formula unit
Total energy   -2.295 eV/atom
ρ   6.73 g/cm³

***

No. 20
VASP calculation (GGA-PBE) on a relaxed Na2LiTlH crystal.

Cell and atoms, written as POSCAR:
```
Na2LiTlH
1.0
4.8236 0.0000 0.0000
0.0000 4.8236 0.0000
0.0000 0.0000 4.3546
Na H Tl Li
2 1 1 1
direct
0.5000 0.0000 0.0000 Na
0.0000 0.5000 0.0000 Na
0.0000 0.0000 0.0000 H
0.5000 0.5000 0.5000 Tl
0.0000 0.0000 0.5000 Li
```

Computed properties:
Symmetry   No. 123
Spin magnetization   0.0 μB per formula unit
Total energy   -2.132 eV/atom
ρ   4.23 g/cm³

***

No. 21
VASP calculation (GGA-PBE) on a relaxed Na2Li3UH12 crystal.

Cell and atoms, written as POSCAR:
```
Na2Li3UH12
1.0
6.2740 0.0090 0.0064
3.1063 5.4511 0.0064
3.1063 1.8081 5.1425
U Li H Na
1 3 12 2
direct
0.0000 0.0000 0.0000 U
0.5000 0.0000 0.0000 Li
0.0000 0.0000 0.5000 Li
0.0000 0.5000 0.0000 Li
0.8564 0.2318 0.2318 H
0.2318 0.8564 0.2318 H
0.1399 0.5955 0.1399 H
0.1436 0.7682 0.7682 H
0.8601 0.8601 0.4045 H
0.7682 0.1436 0.7682 H
0.7682 0.7682 0.1436 H
0.5955 0.1399 0.1399 H
0.1399 0.1399 0.5955 H
0.2318 0.2318 0.8564 H
0.8601 0.4045 0.8601 H
0.4045 0.8601 0.8601 H
0.3862 0.3862 0.3862 Na
0.6138 0.6138 0.6138 Na
```

Computed properties:
Symmetry   No. 166
Spin magnetization   1.1 μB per formula unit
Total energy   -3.399 eV/atom
ρ   3.00 g/cm³

***

No. 22
VASP calculation (GGA-PBE) on a relaxed Na2LiVH6 crystal.

Cell and atoms, written as POSCAR:
```
Na2LiVH6
1.0
5.2519 0.0000 0.0000
0.0000 5.3580 0.0000
0.0000 0.0000 7.1894
H Na V Li
12 4 2 2
direct
0.7383 0.5160 0.5000 H
0.5000 0.2037 0.2633 H
0.2383 0.4840 0.0000 H
0.7401 0.0415 0.5000 H
0.2599 0.0415 0.5000 H
0.0000 0.7963 0.2367 H
0.0000 0.7963 0.7633 H
0.7599 0.9585 0.0000 H
0.2401 0.9585 0.0000 H
0.2617 0.5160 0.5000 H
0.7617 0.4840 0.0000 H
0.5000 0.2037 0.7367 H
0.0000 0.2271 0.7503 Na
0.0000 0.2271 0.2497 Na
0.5000 0.7729 0.7497 Na
0.5000 0.7729 0.2503 Na
0.5000 0.2776 0.5000 V
0.0000 0.7224 0.0000 V
0.0000 0.7617 0.5000 Li
0.5000 0.2383 0.0000 Li
```

Computed properties:
Symmetry   No. 59
Spin magnetization   2.0 μB per formula unit
Total energy   -3.503 eV/atom
ρ   1.80 g/cm³

***

No. 23
VASP calculation (GGA-PBE) on a relaxed NaLi2ZnH crystal.

Cell and atoms, written as POSCAR:
```
NaLi2ZnH
1.0
4.1747 0.0000 0.0000
0.0000 4.1747 0.0000
0.0000 0.0000 4.5731
Li H Na Zn
2 1 1 1
direct
0.5000 0.0000 0.0000 Li
0.0000 0.5000 0.0000 Li
0.0000 0.0000 0.0000 H
0.0000 0.0000 0.5000 Na
0.5000 0.5000 0.5000 Zn
```

Computed properties:
Symmetry   No. 123
Spin magnetization   0.0 μB per formula unit
Total energy   -1.984 eV/atom
ρ   2.15 g/cm³

***

No. 24
VASP calculation (GGA-PBE) on a relaxed NaLiZnH4 crystal.

Cell and atoms, written as POSCAR:
```
NaLiZnH4
1.0
-1.6814 -3.3015 -3.7764
-0.1360 -2.1036 4.8523
-5.8250 2.1080 0.7506
Na H Li Zn
2 8 2 2
direct
0.5000 0.5000 0.0000 Na
0.5000 0.5000 0.5000 Na
0.7585 0.2415 0.9718 H
0.7978 0.7633 0.2500 H
0.7585 0.2415 0.5282 H
0.2415 0.7585 0.0282 H
0.2022 0.2367 0.7500 H
0.7633 0.7978 0.7500 H
0.2367 0.2022 0.2500 H
0.2415 0.7585 0.4718 H
0.1507 0.8493 0.7500 Li
0.8493 0.1507 0.2500 Li
0.1419 0.8581 0.2500 Zn
0.8581 0.1419 0.7500 Zn
```

Computed properties:
Symmetry   No. 63
Spin magnetization   0.0 μB per formula unit
Total energy   -2.740 eV/atom
ρ   2.06 g/cm³